[1]
First-principles (PBE) data for crystalline CaSbOF2 at its relaxed geometry, as listed in Alexandria.

Geometry as POSCAR:
```
CaSbOF2
1.0
4.234 0.000 0.000
0.000 4.234 0.000
0.000 0.000 4.678
Sb Ca O F
1 1 1 2
direct
0.500 0.500 0.500
0.000 0.000 0.000
0.000 0.000 0.500
0.000 0.500 0.000
0.500 0.000 0.000
```

## Properties
The formation energy (no corrections) comes out at -1902 meV per atom. Its total magnetic moment is 0.0 μB/cell. The density of states at the Fermi level comes out at 3.20 states/eV per cell. For the excess energy over the best structure of this formula in the dataset, the calculation gives 0.00 eV/f.u.


[2]
First-principles (PBE) data for crystalline AcPm2Dy4Er at its relaxed geometry, as listed in Alexandria.

Geometry as POSCAR:
```
AcPm2Dy4Er
1.0
9.470 -0.031 -1.747
-0.037 9.470 -1.747
-5.991 -5.995 8.405
Ac Pm Dy Er
2 4 8 2
direct
0.000 0.500 0.000
0.000 0.500 0.500
0.500 0.000 0.000
0.500 0.000 0.500
0.000 0.000 0.500
0.500 0.500 0.000
0.257 0.767 0.012
0.733 0.243 0.488
0.267 0.757 0.512
0.743 0.233 0.988
0.740 0.757 0.994
0.743 0.760 0.506
0.257 0.240 0.494
0.260 0.243 0.006
0.500 0.500 0.500
0.000 0.000 0.000
```

## Properties
The value obtained for the energy relative to the elements is 0.431 eV/atom. Its total magnetic moment is 3.2 μB/cell. The density of states at the Fermi level comes out at 37.18 states/eV per cell.


[3]
First-principles (PBE) data for crystalline RbNbBOs2 at its relaxed geometry, as listed in Alexandria.

Geometry as POSCAR:
```
RbNbBOs2
1.0
-2.264 -3.516 -0.789
3.950 -2.502 -0.185
-0.283 -0.756 4.178
Nb B Os Rb
1 1 2 1
direct
0.000 0.500 0.000
0.000 0.000 0.000
0.000 0.000 0.500
0.500 0.000 0.000
0.500 0.500 0.500
```

## Properties
The value obtained for the energy relative to the elements is 1.208 eV/atom. Its total magnetic moment is 0.2 μB/cell. The density of states at the Fermi level comes out at 5.52 states/eV per cell. For the excess energy over the best structure of this formula in the dataset, the calculation gives 0.00 eV/f.u.


[4]
First-principles (PBE) data for crystalline CsZn2InIr at its relaxed geometry, as listed in Alexandria.

Geometry as POSCAR:
```
CsZn2InIr
1.0
-3.592 -0.803 3.509
3.539 -1.701 3.232
0.680 4.842 1.804
Cs Zn Ir In
1 2 1 1
direct
0.500 0.500 0.500
0.000 0.500 0.000
0.500 0.000 0.000
0.000 0.000 0.000
0.000 0.000 0.500
```

## Properties
The value obtained for the energy relative to the elements is -0.107 eV/atom. Its total magnetic moment is 0.0 μB/cell. The density of states at the Fermi level comes out at 1.65 states/eV per cell.


[5]
First-principles (PBE) data for crystalline LiTa2Cr at its relaxed geometry, as listed in Alexandria.

Geometry as POSCAR:
```
LiTa2Cr
1.0
5.558 -0.005 -0.017
-2.529 4.445 -0.001
0.501 0.785 2.513
Cr Li Ta
1 1 2
direct
0.000 0.500 0.500
0.500 0.500 0.000
0.000 0.000 0.000
0.500 0.000 0.500
```

## Properties
The value obtained for the energy relative to the elements is 0.410 eV/atom. Its total magnetic moment is 0.0 μB/cell. The density of states at the Fermi level comes out at 3.82 states/eV per cell. For the excess energy over the best structure of this formula in the dataset, the calculation gives 0.66 eV/f.u.


[6]
First-principles (PBE) data for crystalline TmScCdPd at its relaxed geometry, as listed in Alexandria.

Geometry as POSCAR:
```
TmScCdPd
1.0
-2.234 -1.699 1.998
-0.348 -2.410 -2.437
5.481 -3.758 2.933
Tm Sc Cd Pd
1 1 1 1
direct
0.500 0.500 0.133
0.500 0.500 0.580
0.000 0.000 0.840
0.000 0.000 0.374
```

## Properties
The value obtained for the energy relative to the elements is -0.603 eV/atom. Its total magnetic moment is 0.0 μB/cell. The density of states at the Fermi level comes out at 3.33 states/eV per cell. For the excess energy over the best structure of this formula in the dataset, the calculation gives 0.00 eV/f.u.


[7]
First-principles (PBE) data for crystalline La2Mg2Cd at its relaxed geometry, as listed in Alexandria.

Geometry as POSCAR:
```
La2Mg2Cd
1.0
5.322 0.000 0.000
2.661 5.672 -1.117
2.661 -1.203 9.697
La Mg Cd
4 4 2
direct
0.685 0.275 0.354
0.894 0.276 0.936
0.315 0.725 0.646
0.106 0.724 0.064
0.055 0.305 0.585
0.661 0.822 0.856
0.945 0.695 0.415
0.339 0.178 0.144
0.564 0.175 0.697
0.436 0.825 0.303
```

## Properties
The value obtained for the energy relative to the elements is -0.167 eV/atom. Its total magnetic moment is 0.0 μB/cell. The density of states at the Fermi level comes out at 8.62 states/eV per cell. For the excess energy over the best structure of this formula in the dataset, the calculation gives 0.00 eV/f.u.


[8]
First-principles (PBE) data for crystalline CaGePbS2 at its relaxed geometry, as listed in Alexandria.

Geometry as POSCAR:
```
CaGePbS2
1.0
4.951 0.000 0.000
0.000 5.417 0.000
0.000 0.000 4.951
Pb Ge S Ca
1 1 2 1
direct
0.500 0.500 0.500
0.000 0.000 0.000
0.000 0.000 0.500
0.500 0.000 0.000
0.000 0.500 0.000
```

## Properties
The formation energy (no corrections) comes out at 58 meV per atom. Its total magnetic moment is 0.0 μB/cell. The density of states at the Fermi level comes out at 3.89 states/eV per cell.